First-principles (PBE-GGA) data for crystalline Sm3Mg7Tl2 at its relaxed geometry, as listed in Alexandria.

Lattice parameters (Å, degrees): 10.3419 10.3419 10.3419 34.42 34.42 34.42
Closest atoms and distances in Å follow each position.
Positions (direct):
Sm 0.0000 0.0000 0.0000  6 Tl 3.53, 12 Mg 3.91
Sm 0.1441 0.1441 0.1441  12 Mg 3.53-3.59, 3 Sm 3.77
Sm 0.8559 0.8559 0.8559  12 Mg 3.53-3.59, 3 Sm 3.77
Mg 0.0785 0.5863 0.5863  2 Tl 3.00-3.02, 5 Mg 3.01-3.11
Mg 0.4137 0.4137 0.9215  2 Tl 3.00-3.02, 5 Mg 3.01-3.11
Mg 0.4137 0.9215 0.4137  2 Tl 3.00-3.02, 5 Mg 3.01-3.11
Mg 0.5000 0.5000 0.5000  6 Mg 3.01
Mg 0.5863 0.0785 0.5863  2 Tl 3.00-3.02, 5 Mg 3.01-3.11
Mg 0.5863 0.5863 0.0785  2 Tl 3.00-3.02, 5 Mg 3.01-3.11
Mg 0.9215 0.4137 0.4137  2 Tl 3.00-3.02, 5 Mg 3.01-3.11
Tl 0.3344 0.3344 0.3344  6 Mg 3.00-3.02
Tl 0.6656 0.6656 0.6656  6 Mg 3.00-3.02

Properties
total energy = -31.41 eV for the cell shown
space-group type = No. 166